(1)
Material: NaCaLa2Hg4
Method: DFT, GGA-PBE
State: relaxed

Cell lengths 5.4037, 5.4037, 9.3845 Å; angles 73.27, 73.27, 60.00 degrees
Closest atoms and distances in Å follow each position.
Positions (direct):
Hg (0.6255, 0.6255, 0.1234)  3 Ca 3.31, 4 La 3.33-3.35, 1 Na 3.33
Hg (0.3745, 0.3745, 0.8766)  3 Ca 3.31, 4 La 3.33-3.35, 1 Na 3.33
Hg (0.8756, 0.8756, 0.3732)  4 La 3.29, 1 Ca 3.30, 3 Na 3.32
Hg (0.1244, 0.1244, 0.6268)  4 La 3.29, 1 Ca 3.30, 3 Na 3.32
Na (0.5000, 0.5000, 0.5000)  8 Hg 3.32-3.33
Ca (0.0000, 0.0000, 0.0000)  8 Hg 3.30-3.31
La (0.2482, 0.2482, 0.2554)  8 Hg 3.29-3.35
La (0.7518, 0.7518, 0.7446)  8 Hg 3.29-3.35

Energy of formation (kJ per mole of atoms): -46.5
M_tot (μB/atom): 0.000
Uncorrected energy (eV/atom): -2.280

---

(2)
Material: SrUSi2O8
Method: DFT, GGA-PBE
State: relaxed

Cell lengths 5.8938, 5.8938, 5.8938 Å; angles 105.96, 105.96, 116.74 degrees
Closest atoms and distances in Å follow each position.
Positions (direct):
O (0.8471, 0.6548, 0.1922)  1 Si 1.67
O (0.3996, 0.0668, 0.3328)  1 Si 1.64
O (0.4626, 0.6548, 0.8078)  1 Si 1.67
O (0.3452, 0.5374, 0.1922)  1 Si 1.67
O (0.7340, 0.0668, 0.6672)  1 Si 1.64
O (0.3452, 0.1529, 0.8078)  1 Si 1.67
O (0.9332, 0.2660, 0.3328)  1 Si 1.64
O (0.9332, 0.6004, 0.6672)  1 Si 1.64
Sr (0.0000, 0.0000, 0.0000)  8 O 2.40-2.53
U (0.2500, 0.7500, 0.5000)  8 O 2.26-2.29
Si (0.7500, 0.2500, 0.5000)  4 O 1.64
Si (0.5000, 0.5000, 0.0000)  4 O 1.67

M_tot (μB/atom): 0.000
Uncorrected formation energy (eV/f.u.): -33.94
Uncorrected energy (eV/atom): -8.118

---

(3)
Material: PuHfRu4
Method: DFT, GGA-PBE
State: relaxed

Cell lengths 5.2568, 5.2568, 5.2568 Å; angles 60.00, 60.00, 60.00 degrees
Closest atoms and distances in Å follow each position.
Positions (direct):
Ru (0.1258, 0.6247, 0.6247)  6 Ru 2.62-2.63
Ru (0.6247, 0.1258, 0.6247)  6 Ru 2.62-2.63
Ru (0.6247, 0.6247, 0.6247)  6 Ru 2.62-2.63
Ru (0.6247, 0.6247, 0.1258)  6 Ru 2.62-2.63
Hf (0.2500, 0.2500, 0.2500)  12 Ru 3.08, 4 Pu 3.22
Pu (0.0000, 0.0000, 0.0000)  12 Ru 3.08, 4 Hf 3.22

Energy of formation (kJ per mole of atoms): -19.0
M_tot (μB/atom): 0.641
Uncorrected energy (eV/atom): -10.428

---

The highest uncorrected energy belongs to which entry? NaCaLa2Hg4

---

Which of these has the highest M_tot? PuHfRu4

---

Which of these has the highest uncorrected energy? NaCaLa2Hg4